## P
UGaGe | GGA-PBE | optimized geometry

Symmetry: I2_12_12_1 (24)
M_tot in μB/f.u.: 1.41

Cell: 7.279 5.779 4.168 Å, 111.14 90.00 129.03°
Atoms (fractional coordinates):
U 0.358 0.500 0.250
U 0.142 0.500 0.750
Ge 0.850 0.699 0.100
Ge 0.650 0.301 0.400
Ga 0.250 0.000 0.550
Ga 0.750 0.000 0.950

## Q
UGaGe | GGA-PBE | optimized geometry

Symmetry: P-6m2 (187)
M_tot in μB/f.u.: 2.40

Cell: 2.838 4.838 4.838 Å, 120.00 90.00 90.00°
Atoms (fractional coordinates):
Ga 0.167 0.667 0.333
Ge 0.166 0.000 0.000
U 0.667 0.333 0.667

Tell me which of them is the least stable. Sure, it is P.

## P
V6Ga2Ge | GGA-PBE | optimized geometry

Symmetry: Immm (71)
M_tot in μB/f.u.: 0.00

Cell: 7.005 7.005 7.005 Å, 101.41 113.44 113.85°
Atoms (fractional coordinates):
Ga 0.500 0.638 0.138
Ga 0.658 0.000 0.658
Ga 0.342 0.000 0.342
Ga 0.500 0.362 0.862
V 0.264 0.588 0.324
V 0.736 0.060 0.324
V 0.808 0.262 0.070
V 0.736 0.412 0.676
V 0.192 0.262 0.453
V 0.192 0.738 0.930
V 0.911 0.696 0.214
V 0.089 0.304 0.786
V 0.264 0.940 0.676
V 0.482 0.696 0.786
V 0.808 0.738 0.547
V 0.518 0.304 0.214
Ge 0.000 0.000 0.000
Ge 0.000 0.500 0.500

## Q
V6Ga2Ge | GGA-PBE | optimized geometry

Symmetry: P-1 (2)
M_tot in μB/f.u.: 0.00

Cell: 2.625 11.303 8.866 Å, 37.85 55.75 51.11°
Atoms (fractional coordinates):
Ge 0.500 0.500 0.500
V 0.140 0.841 0.055
V 0.142 0.841 0.386
V 0.443 0.504 0.823
V 0.858 0.159 0.614
V 0.860 0.159 0.945
V 0.557 0.496 0.177
Ga 0.123 0.814 0.745
Ga 0.877 0.186 0.255

Tell me which of them is the least stable. Sure, it is P.

## P
VGaGe3 | GGA-PBE | optimized geometry

Symmetry: Pm-3m (221)
M_tot in μB/f.u.: 3.27

Cell: 4.856 4.856 4.856 Å, 90.00 90.00 90.00°
Atoms (fractional coordinates):
Ge 0.000 0.500 0.000
Ge 0.500 0.000 0.000
Ge 0.000 0.000 0.500
V 0.500 0.500 0.500
Ga 0.000 0.000 0.000

## Q
VGaGe3 | GGA-PBE | optimized geometry

Symmetry: Pm-3m (221)
M_tot in μB/f.u.: 0.06

Cell: 4.776 4.776 4.776 Å, 90.00 90.00 90.00°
Atoms (fractional coordinates):
V 0.000 0.000 0.000
Ge 0.000 0.500 0.000
Ge 0.000 0.000 0.500
Ge 0.500 0.000 0.000
Ga 0.500 0.500 0.500

Tell me which of them is the least stable. Sure, it is P.

## P
V4GaGe2 | GGA-PBE | optimized geometry

Symmetry: I4/mmm (139)
M_tot in μB/f.u.: 7.41

Cell: 4.434 4.434 7.285 Å, 72.28 72.28 90.00°
Atoms (fractional coordinates):
Ga 0.000 0.000 0.000
V 0.000 0.500 0.000
V 0.813 0.813 0.373
V 0.187 0.187 0.627
V 0.500 0.000 0.000
Ge 0.378 0.378 0.245
Ge 0.622 0.622 0.755

## Q
V4GaGe2 | GGA-PBE | optimized geometry

Symmetry: I-42d (122)
M_tot in μB/f.u.: 0.00

Cell: 6.419 6.419 6.418 Å, 109.48 109.48 109.46°
Atoms (fractional coordinates):
V 0.383 0.131 0.415
V 0.716 0.968 0.585
V 0.867 0.782 0.248
V 0.534 0.619 0.752
V 0.869 0.284 0.252
V 0.032 0.617 0.748
V 0.381 0.133 0.915
V 0.218 0.466 0.085
Ga 0.000 0.000 0.000
Ga 0.250 0.750 0.500
Ge 0.755 0.375 0.880
Ge 0.625 0.505 0.380
Ge 0.125 0.245 0.620
Ge 0.495 0.875 0.120

Tell me which of them is the least stable. Sure, it is P.

## P
GaGe2W2 | GGA-PBE | optimized geometry

Symmetry: P4/mbm (127)
M_tot in μB/f.u.: 0.00

Cell: 6.945 6.945 3.420 Å, 90.00 90.00 90.00°
Atoms (fractional coordinates):
W 0.646 0.146 0.000
W 0.854 0.646 0.000
W 0.354 0.854 0.000
W 0.146 0.354 0.000
Ge 0.351 0.149 0.500
Ge 0.649 0.851 0.500
Ge 0.149 0.649 0.500
Ge 0.851 0.351 0.500
Ga 0.000 0.000 0.000
Ga 0.500 0.500 0.000

## Q
GaGe2W2 | GGA-PBE | optimized geometry

Symmetry: I4/mmm (139)
M_tot in μB/f.u.: 0.00

Cell: 3.521 3.521 7.132 Å, 75.71 75.71 90.00°
Atoms (fractional coordinates):
Ge 0.750 0.250 0.500
Ge 0.250 0.750 0.500
W 0.400 0.400 0.200
W 0.600 0.600 0.800
Ga 0.000 0.000 0.000

Tell me which of them is the least stable. Sure, it is Q.

## P
GaGe3W | GGA-PBE | optimized geometry

Symmetry: Pm-3m (221)
M_tot in μB/f.u.: 0.00

Cell: 4.929 4.929 4.929 Å, 90.00 90.00 90.00°
Atoms (fractional coordinates):
Ge 0.000 0.500 0.000
Ge 0.500 0.000 0.000
Ge 0.000 0.000 0.500
Ga 0.500 0.500 0.500
W 0.000 0.000 0.000

## Q
GaGe3W | GGA-PBE | optimized geometry

Symmetry: Pm-3m (221)
M_tot in μB/f.u.: 0.00

Cell: 4.727 4.727 4.727 Å, 90.00 90.00 90.00°
Atoms (fractional coordinates):
Ge 0.000 0.500 0.000
Ge 0.500 0.000 0.000
Ge 0.000 0.000 0.500
Ga 0.000 0.000 0.000
W 0.500 0.500 0.500

Tell me which of them is the least stable. Sure, it is Q.

## P
GaGeW | GGA-PBE | optimized geometry

Symmetry: P3m1 (156)
M_tot in μB/f.u.: 0.00

Cell: 2.794 4.510 4.510 Å, 120.00 90.00 90.00°
Atoms (fractional coordinates):
Ga 0.669 0.667 0.333
W 0.167 0.000 0.000
Ge 0.164 0.333 0.667

## Q
GaGeW | GGA-PBE | optimized geometry

Symmetry: R-3m (166)
M_tot in μB/f.u.: 0.00

Cell: 4.345 4.345 7.044 Å, 72.04 72.04 60.00°
Atoms (fractional coordinates):
Ge 0.404 0.404 0.787
Ge 0.596 0.596 0.213
W 0.725 0.725 0.825
W 0.275 0.275 0.175
Ga 0.138 0.138 0.587
Ga 0.862 0.862 0.413

Tell me which of them is the least stable. Sure, it is Q.

## P
Ga3GeW | GGA-PBE | optimized geometry

Symmetry: Pm-3m (221)
M_tot in μB/f.u.: 0.00

Cell: 4.918 4.918 4.918 Å, 90.00 90.00 90.00°
Atoms (fractional coordinates):
Ga 0.500 0.000 0.000
Ga 0.000 0.500 0.000
Ga 0.000 0.000 0.500
Ge 0.500 0.500 0.500
W 0.000 0.000 0.000

## Q
Ga3GeW | GGA-PBE | optimized geometry

Symmetry: Pm-3m (221)
M_tot in μB/f.u.: 3.34

Cell: 4.822 4.822 4.822 Å, 90.00 90.00 90.00°
Atoms (fractional coordinates):
Ge 0.000 0.000 0.000
Ga 0.000 0.500 0.000
Ga 0.000 0.000 0.500
Ga 0.500 0.000 0.000
W 0.500 0.500 0.500

Tell me which of them is the least stable. Sure, it is Q.

## P
Y3GaGe | GGA-PBE | optimized geometry

Symmetry: Pm-3m (221)
M_tot in μB/f.u.: 0.00

Cell: 5.383 5.383 5.383 Å, 90.00 90.00 90.00°
Atoms (fractional coordinates):
Y 0.000 0.500 0.000
Y 0.000 0.000 0.500
Y 0.500 0.000 0.000
Ga 0.500 0.500 0.500
Ge 0.000 0.000 0.000

## Q
Y3GaGe | GGA-PBE | optimized geometry

Symmetry: C2/m (12)
M_tot in μB/f.u.: 0.84

Cell: 4.036 8.006 8.256 Å, 92.66 90.02 104.63°
Atoms (fractional coordinates):
Y 0.619 0.272 0.786
Y 0.071 0.176 0.397
Y 0.260 0.552 0.032
Y 0.973 0.978 0.025
Y 0.425 0.882 0.636
Y 0.784 0.602 0.390
Ga 0.229 0.492 0.640
Ga 0.814 0.662 0.782
Ge 0.414 0.861 0.275
Ge 0.630 0.293 0.146

Tell me which of them is the least stable. Sure, it is P.

## P
Y2Ga2Ge | GGA-PBE | optimized geometry

Symmetry: P4/mbm (127)
M_tot in μB/f.u.: 0.00

Cell: 7.802 7.802 4.081 Å, 90.00 90.00 90.00°
Atoms (fractional coordinates):
Ga 0.879 0.379 0.500
Ga 0.621 0.879 0.500
Ga 0.379 0.121 0.500
Ga 0.121 0.621 0.500
Ge 0.500 0.500 0.000
Ge 0.000 0.000 0.000
Y 0.821 0.679 0.000
Y 0.679 0.179 0.000
Y 0.321 0.821 0.000
Y 0.179 0.321 0.000

## Q
Y2Ga2Ge | GGA-PBE | optimized geometry

Symmetry: P4/mbm (127)
M_tot in μB/f.u.: 0.00

Cell: 7.034 7.034 4.435 Å, 90.00 90.00 90.00°
Atoms (fractional coordinates):
Ga 0.628 0.128 0.000
Ga 0.372 0.872 0.000
Ga 0.872 0.628 0.000
Ga 0.128 0.372 0.000
Y 0.327 0.173 0.500
Y 0.827 0.327 0.500
Y 0.673 0.827 0.500
Y 0.173 0.673 0.500
Ge 0.000 0.000 0.000
Ge 0.500 0.500 0.000

Tell me which of them is the least stable. Sure, it is P.

## P
Y2Ga2Ge | GGA-PBE | optimized geometry

Symmetry: C2/m (12)
M_tot in μB/f.u.: 0.00

Cell: 4.150 5.869 9.980 Å, 83.16 78.00 69.30°
Atoms (fractional coordinates):
Ga 0.633 0.843 0.891
Ga 0.983 0.634 0.400
Ga 0.367 0.157 0.109
Ga 0.017 0.366 0.600
Ge 0.578 0.158 0.686
Ge 0.422 0.842 0.314
Y 0.902 0.294 0.901
Y 0.706 0.235 0.353
Y 0.098 0.706 0.099
Y 0.294 0.765 0.647

## Q
Y2Ga2Ge | GGA-PBE | optimized geometry

Symmetry: C2/m (12)
M_tot in μB/f.u.: 0.00

Cell: 4.224 5.849 9.811 Å, 79.03 77.57 68.83°
Atoms (fractional coordinates):
Y 0.484 0.350 0.681
Y 0.686 0.739 0.889
Y 0.314 0.261 0.111
Y 0.516 0.650 0.319
Ga 0.042 0.816 0.101
Ga 0.855 0.731 0.559
Ga 0.958 0.184 0.899
Ga 0.145 0.269 0.441
Ge 0.196 0.929 0.679
Ge 0.804 0.071 0.321

Tell me which of them is the least stable. Sure, it is Q.

## P
ZnGaGe2 | GGA-PBE | optimized geometry

Symmetry: R-3m (166)
M_tot in μB/f.u.: 0.00

Cell: 3.474 3.474 7.525 Å, 76.65 76.65 60.00°
Atoms (fractional coordinates):
Ge 0.749 0.749 0.753
Ge 0.251 0.251 0.247
Ga 0.500 0.500 0.500
Zn 0.000 0.000 0.000

## Q
ZnGaGe2 | GGA-PBE | optimized geometry

Symmetry: I-42d (122)
M_tot in μB/f.u.: 0.00

Cell: 6.106 6.106 6.649 Å, 62.67 62.67 90.00°
Atoms (fractional coordinates):
Ge 0.625 0.125 0.250
Ge 0.875 0.875 0.750
Ge 0.375 0.375 0.750
Ge 0.125 0.625 0.250
Zn 0.250 0.750 0.500
Zn 0.500 0.500 0.000
Ga 0.000 0.000 0.000
Ga 0.750 0.250 0.500

Tell me which of them is the least stable. Sure, it is Q.